one | # Ca2YCu2

Ca2YCu2 after structural relaxation (PBE-GGA, the Alexandria database).

```
Ca2YCu2
1.0
8.4812 0.0000 0.0000
0.0000 8.4812 0.0000
0.0000 0.0000 3.3283
Y Ca Cu
2 4 4
Cartesian
0.0000 0.0000 0.0000
4.2406 4.2406 0.0000
3.1137 7.3543 0.0000
7.3543 5.3674 0.0000
5.3674 1.1268 0.0000
1.1268 3.1137 0.0000
1.4238 5.6644 1.6642
5.6644 7.0574 1.6642
7.0574 2.8168 1.6642
2.8168 1.4238 1.6642
```

Calculated values
Crystal system: tetragonal
Density of states at the Fermi level in states/eV per cell: 10.0
Magnetic moment in μB per cell: 0.000

=====

two | # Ca2YCu2

Ca2YCu2 after structural relaxation (PBE-GGA, the Alexandria database).

```
Ca2YCu2
1.0
4.4827 0.0000 0.0000
0.0000 4.4827 0.0000
2.2414 2.2414 6.3729
Y Ca Cu
1 2 2
Cartesian
0.0000 0.0000 0.0000
4.4827 2.2414 3.1865
2.2414 4.4827 3.1865
2.2414 2.2414 1.1800
4.4827 4.4827 5.1929
```

Calculated values
Crystal system: tetragonal
Density of states at the Fermi level in states/eV per cell: 7.8
Magnetic moment in μB per cell: 0.001

=====

three | # Ca2YCu2

Ca2YCu2 after structural relaxation (PBE-GGA, the Alexandria database).

```
Ca2YCu2
1.0
7.5344 0.0000 0.0000
0.0000 7.5344 0.0000
0.0000 0.0000 4.4583
Y Ca Cu
2 4 4
Cartesian
0.0000 0.0000 0.0000
3.7672 3.7672 0.0000
1.2813 5.0485 2.2291
5.0485 6.2531 2.2291
6.2531 2.4859 2.2291
2.4859 1.2813 2.2291
2.8736 6.6408 0.0000
6.6408 4.6609 0.0000
4.6609 0.8937 0.0000
0.8937 2.8736 0.0000
```

Calculated values
Crystal system: tetragonal
Density of states at the Fermi level in states/eV per cell: 5.3
Magnetic moment in μB per cell: 0.000

=====

three wins, 208 meV/atom ahead of the next structure.